[1]
First-principles (GGA-PBE) data for a relaxed Re2AgCl crystal, as listed in Alexandria.

Properties
Spin magnetization   0.00 μB/cell
Raw total energy   -6.002 eV per atom
E_form (uncorrected)   1.396 eV per atom

Cell lengths 2.983, 2.983, 6.804 Å; angles 90.00, 90.00, 90.00 degrees
Positions (direct):
Cl (0.500, 0.500, 0.750)
Re (0.000, 0.000, 0.963)
Re (0.000, 0.000, 0.537)
Ag (0.500, 0.500, 0.250)



[2]
First-principles (GGA-PBE) data for a relaxed ReAgCl4 crystal, as listed in Alexandria.

Properties
Spin magnetization   3.79 μB/cell
Raw total energy   -2.461 eV per atom
E_form (uncorrected)   1.320 eV per atom

Cell lengths 5.886, 5.886, 5.886 Å; angles 60.00, 60.00, 60.00 degrees
Last column: magnetic moment on the atom in μB.
Positions (direct):
Cl (0.376, 0.872, 0.376)  -0.31
Cl (0.376, 0.376, 0.872)  -0.31
Cl (0.872, 0.376, 0.376)  -0.31
Cl (0.376, 0.376, 0.376)  -0.31
Ag (0.000, 0.000, 0.000)  0.04
Re (0.750, 0.750, 0.750)  4.22